Record 1
YTi3Ir (PBE-GGA, optimized geometry); D(E_F) = 0.9476 states/eV per atom; ΔE_f = 1.623 eV/atom; total moment = 0.000 μB/f.u.
1.0
4.618 0.000 0.000
0.000 4.618 0.000
0.000 0.000 4.618
Ti Ir Y
3 1 1
Cartesian
2.309 0.000 0.000
0.000 2.309 0.000
0.000 0.000 2.309
2.309 2.309 2.309
0.000 0.000 0.000

***

Record 2
Y2TiIr (PBE-GGA, optimized geometry); D(E_F) = 1.8033 states/eV per atom; ΔE_f = -0.188 eV/atom; total moment = 2.603 μB/f.u.
1.0
-4.781 -0.550 1.252
-3.323 3.468 -1.288
-3.390 -0.984 -3.502
Y Ir Ti
2 1 1
Cartesian
-2.873 0.483 -0.884
-8.620 1.450 -2.653
-5.747 0.967 -1.769
0.000 0.000 0.000

***

Record 3
YTiIr4 (PBE-GGA, optimized geometry); D(E_F) = 0.6811 states/eV per atom; ΔE_f = -0.554 eV/atom; total moment = 0.000 μB/f.u.
1.0
-2.783 -2.969 -3.334
0.662 -5.219 -0.055
-3.796 -3.152 1.825
Ir Y Ti
4 1 1
Cartesian
-3.698 -7.086 -0.977
-4.028 -4.479 -0.950
-2.307 -5.603 0.688
-1.801 -5.512 -1.889
0.000 0.000 0.000
-1.479 -2.835 -0.391

***

Record 4
YTi3Ir (PBE-GGA, optimized geometry); D(E_F) = 1.9393 states/eV per atom; ΔE_f = 0.070 eV/atom; total moment = 0.000 μB/f.u.
1.0
-4.170 2.433 -0.061
-0.654 -1.004 4.677
2.344 4.048 1.197
Ti Ir Y
3 1 1
Cartesian
-0.327 -0.502 2.338
1.172 2.024 0.598
-2.085 1.216 -0.030
0.000 0.000 0.000
-1.240 2.738 2.907

***

Record 5
Y2TiZnIr (PBE-GGA, optimized geometry); D(E_F) = 1.1563 states/eV per atom; ΔE_f = 0.621 eV/atom; total moment = 1.833 μB/f.u.
1.0
5.205 0.000 0.000
0.000 4.601 0.000
0.000 0.000 5.205
Zn Y Ir Ti
1 2 1 1
Cartesian
0.000 0.000 0.000
0.000 0.000 2.603
2.603 0.000 0.000
2.603 2.300 2.603
0.000 2.300 0.000

***

Record 6
YTiZn2Ir (PBE-GGA, optimized geometry); D(E_F) = 0.9166 states/eV per atom; ΔE_f = -0.023 eV/atom; total moment = 0.850 μB/f.u.
1.0
-4.038 2.436 -1.044
-2.561 -3.435 1.889
0.217 2.200 4.294
Y Zn Ir Ti
1 2 1 1
Cartesian
-3.191 0.600 2.569
0.108 1.100 2.147
-2.019 1.218 -0.522
0.000 0.000 0.000
-1.281 -1.718 0.945

***

> Look up the D(E_F) of the sixth one.

0.9166 states/eV per atom

***

Please write out number 2 again, unchanged.
Y2TiIr (PBE-GGA, optimized geometry); D(E_F) = 1.8033 states/eV per atom; ΔE_f = -0.188 eV/atom; total moment = 2.603 μB/f.u.
1.0
-4.781 -0.550 1.252
-3.323 3.468 -1.288
-3.390 -0.984 -3.502
Y Ir Ti
2 1 1
Cartesian
-2.873 0.483 -0.884
-8.620 1.450 -2.653
-5.747 0.967 -1.769
0.000 0.000 0.000